Entry 1:
VASP calculation (PBE) on a relaxed Th2Al4Pd3Pt crystal.

Unit cell a=4.3197 b=4.3197 c=10.3362 alpha=90.00 beta=90.00 gamma=90.00
Closest atoms and distances in Å follow each position.
Fractional coordinates of all 10 atoms:
Pd: 0.0000 0.5000 0.1315  5 Al 2.48-2.55
Pd: 0.5000 0.0000 0.8685  5 Al 2.48-2.55
Pd: 0.0000 0.0000 0.5000  4 Al 2.54
Th: 0.0000 0.5000 0.7470  8 Al 3.29-3.39, 6 Pd 3.30-3.34, 2 Pt 3.34
Th: 0.5000 0.0000 0.2530  8 Al 3.29-3.39, 6 Pd 3.30-3.34, 2 Pt 3.34
Al: 0.5000 0.0000 0.6285  3 Pd 2.48-2.54, 2 Pt 2.54
Al: 0.0000 0.0000 0.0000  4 Pd 2.55
Al: 0.5000 0.5000 0.0000  4 Pd 2.55
Al: 0.0000 0.5000 0.3715  3 Pd 2.48-2.54, 2 Pt 2.54
Pt: 0.5000 0.5000 0.5000  4 Al 2.54

## Properties
E_tot	-6.046	eV per atom
N(E_F)	8.66	states/eV per cell
size of the total moment	0.00	μB per formula unit
symmetry	P-4m2

***

Entry 2:
VASP calculation (PBE) on a relaxed ZrMnIn2 crystal.

Unit cell a=5.5376 b=5.5376 c=5.1423 alpha=68.18 beta=68.18 gamma=34.76
Closest atoms and distances in Å follow each position.
Fractional coordinates of all 4 atoms:
In: 0.0178 0.0178 0.9805  2 Mn 2.81, 4 In 3.03-3.12, 2 Zr 3.10
In: 0.4822 0.4822 0.5195  2 Mn 2.81, 4 In 3.03-3.12, 2 Zr 3.10
Zr: 0.2500 0.2500 0.2500  4 Mn 3.06, 6 In 3.10-3.25, 2 Zr 3.31
Mn: 0.7500 0.7500 0.7500  4 In 2.81, 4 Zr 3.06

## Properties
E_tot	-5.734	eV per atom
N(E_F)	2.88	states/eV per cell
size of the total moment	2.48	μB per formula unit
symmetry	C2/m

***

Entry 3:
VASP calculation (PBE) on a relaxed Ca3Tm2AgTe6 crystal.

Unit cell a=7.6730 b=7.6730 c=7.6213 alpha=99.67 beta=99.67 gamma=119.93
Closest atoms and distances in Å follow each position.
Fractional coordinates of all 12 atoms:
Ca: 0.5000 0.5000 0.5000  6 Te 3.16-3.18
Ca: 0.8355 0.1645 0.5000  6 Te 3.17-3.18
Ca: 0.1645 0.8355 0.5000  6 Te 3.17-3.18
Ag: 0.0000 0.0000 0.0000  6 Te 3.09-3.10
Te: 0.2573 0.2573 0.7632  2 Tm 3.07, 1 Ag 3.09, 3 Ca 3.16-3.17
Te: 0.0798 0.4159 0.2386  2 Tm 3.06-3.07, 1 Ag 3.10, 3 Ca 3.17-3.18
Te: 0.4159 0.0798 0.2386  2 Tm 3.06-3.07, 1 Ag 3.10, 3 Ca 3.17-3.18
Te: 0.5841 0.9202 0.7614  2 Tm 3.06-3.07, 1 Ag 3.10, 3 Ca 3.17-3.18
Te: 0.9202 0.5841 0.7614  2 Tm 3.06-3.07, 1 Ag 3.10, 3 Ca 3.17-3.18
Te: 0.7427 0.7427 0.2368  2 Tm 3.07, 1 Ag 3.09, 3 Ca 3.16-3.17
Tm: 0.6674 0.3326 0.0000  6 Te 3.06-3.07
Tm: 0.3326 0.6674 0.0000  6 Te 3.06-3.07

## Properties
E_tot	-4.332	eV per atom
N(E_F)	3.93	states/eV per cell
raw formation energy	-1479	kJ/mol of formula units
size of the total moment	0.00	μB per formula unit
symmetry	C2/m